No. 1
DFT (PBE) results for K2SmGaTe4 after structural relaxation.

Calculated values
Calculated total energy: -58.9 eV per cell

a b c (Å): 9.2613 9.2613 8.9296
angles (deg): 118.10 118.10 92.00
Positions (direct):
K 0.0000 0.0000 0.0000
K 0.0000 0.0000 0.5000
K 0.0000 0.5000 0.0000
K 0.5000 0.0000 0.5000
Sm 0.0000 0.5000 0.5000
Sm 0.5000 0.0000 0.0000
Ga 0.5000 0.5000 0.0000
Ga 0.5000 0.5000 0.5000
Te 0.2599 0.7356 0.9786
Te 0.2644 0.7401 0.5214
Te 0.2882 0.3076 0.5294
Te 0.3076 0.2882 0.0294
Te 0.6924 0.7118 0.9706
Te 0.7118 0.6924 0.4706
Te 0.7356 0.2599 0.4786
Te 0.7401 0.2644 0.0214

No. 2
DFT (PBE) results for K2Ga3Sn5 after structural relaxation.

Calculated values
Calculated total energy: -32.5 eV per cell
ΔH_f (0 K): -119 meV per atom

a b c (Å): 5.1238 5.1238 11.2710
angles (deg): 90.00 90.00 90.00
Positions (direct):
K 0.0000 0.5000 0.2370
K 0.5000 0.0000 0.7630
Ga 0.0000 0.0000 0.0000
Ga 0.0000 0.5000 0.8932
Ga 0.5000 0.0000 0.1068
Sn 0.0000 0.0000 0.5000
Sn 0.0000 0.5000 0.6443
Sn 0.5000 0.0000 0.3557
Sn 0.5000 0.5000 0.0000
Sn 0.5000 0.5000 0.5000

No. 3
DFT (PBE) results for K2Ga2Sn after structural relaxation.

Calculated values
Calculated total energy: -25.2 eV per cell
ΔH_f (0 K): -70 meV per atom

a b c (Å): 7.3403 7.3403 5.7598
angles (deg): 90.00 90.00 90.00
Positions (direct):
K 0.1866 0.3134 0.0000
K 0.3134 0.8134 0.0000
K 0.6866 0.1866 0.0000
K 0.8134 0.6866 0.0000
Ga 0.1232 0.6232 0.5000
Ga 0.3768 0.1232 0.5000
Ga 0.6232 0.8768 0.5000
Ga 0.8768 0.3768 0.5000
Sn 0.0000 0.0000 0.5000
Sn 0.5000 0.5000 0.5000

No. 4
DFT (PBE) results for KGa6Sn2 after structural relaxation.

Calculated values
Calculated total energy: -27.6 eV per cell
ΔH_f (0 K): -36 meV per atom

a b c (Å): 4.8990 4.8990 9.2627
angles (deg): 90.00 90.00 90.00
Positions (direct):
K 0.0000 0.0000 0.0000
Ga 0.0000 0.0000 0.5000
Ga 0.0000 0.5000 0.3356
Ga 0.0000 0.5000 0.6644
Ga 0.5000 0.0000 0.3356
Ga 0.5000 0.0000 0.6644
Ga 0.5000 0.5000 0.5000
Sn 0.5000 0.5000 0.1639
Sn 0.5000 0.5000 0.8361

No. 5
DFT (PBE) results for KGa3Sn3 after structural relaxation.

Calculated values
Calculated total energy: -44.9 eV per cell
ΔH_f (0 K): -37 meV per atom

a b c (Å): 7.6912 7.6912 7.6912
angles (deg): 90.00 90.00 90.00
Positions (direct):
K 0.0000 0.0000 0.0000
K 0.5000 0.5000 0.5000
Ga 0.0000 0.2500 0.5000
Ga 0.0000 0.7500 0.5000
Ga 0.2500 0.5000 0.0000
Ga 0.5000 0.0000 0.2500
Ga 0.5000 0.0000 0.7500
Ga 0.7500 0.5000 0.0000
Sn 0.0000 0.5000 0.2500
Sn 0.0000 0.5000 0.7500
Sn 0.2500 0.0000 0.5000
Sn 0.5000 0.2500 0.0000
Sn 0.5000 0.7500 0.0000
Sn 0.7500 0.0000 0.5000

No. 6
DFT (PBE) results for K2Ga2Sn after structural relaxation.

Calculated values
Calculated total energy: -12.2 eV per cell
ΔH_f (0 K): 14 meV per atom

a b c (Å): 6.5666 6.5666 8.1339
angles (deg): 122.48 122.48 32.64
Positions (direct):
K 0.1347 0.1347 0.2610
K 0.8653 0.8653 0.7390
Ga 0.1731 0.1731 0.8512
Ga 0.8269 0.8269 0.1488
Sn 0.5000 0.5000 0.5000

No. 7
DFT (PBE) results for K2Ga3Sn2 after structural relaxation.

Calculated values
Calculated total energy: -20.0 eV per cell
ΔH_f (0 K): -104 meV per atom

a b c (Å): 7.2500 7.2500 7.3350
angles (deg): 101.69 101.69 35.47
Positions (direct):
K 0.1669 0.1669 0.2376
K 0.8331 0.8331 0.7624
Ga 0.4433 0.4433 0.1179
Ga 0.5000 0.5000 0.5000
Ga 0.5567 0.5567 0.8821
Sn 0.1144 0.1144 0.7031
Sn 0.8856 0.8856 0.2969

No. 8
DFT (PBE) results for KGaSn2 after structural relaxation.

Calculated values
Calculated total energy: -12.6 eV per cell
ΔH_f (0 K): -116 meV per atom

a b c (Å): 3.8330 3.8330 7.8831
angles (deg): 90.00 90.00 90.00
Positions (direct):
K 0.0000 0.0000 0.0000
Ga 0.0000 0.0000 0.5000
Sn 0.5000 0.5000 0.3151
Sn 0.5000 0.5000 0.6849

No. 9
DFT (PBE) results for KGa3Sn3 after structural relaxation.

Calculated values
Calculated total energy: -44.9 eV per cell
ΔH_f (0 K): -39 meV per atom

a b c (Å): 10.5282 10.5282 10.5282
angles (deg): 40.57 40.57 40.57
Positions (direct):
K 0.1668 0.1668 0.1668
K 0.8332 0.8332 0.8332
Ga 0.0155 0.3605 0.6979
Ga 0.3021 0.9845 0.6395
Ga 0.3605 0.6979 0.0155
Ga 0.6395 0.3021 0.9845
Ga 0.6979 0.0155 0.3605
Ga 0.9845 0.6395 0.3021
Sn 0.0853 0.7293 0.4054
Sn 0.2707 0.5946 0.9147
Sn 0.4054 0.0853 0.7293
Sn 0.5946 0.9147 0.2707
Sn 0.7293 0.4054 0.0853
Sn 0.9147 0.2707 0.5946

No. 10
DFT (PBE) results for K2GaSn7 after structural relaxation.

Calculated values
Calculated total energy: -34.4 eV per cell
ΔH_f (0 K): -118 meV per atom

a b c (Å): 5.3139 5.3139 11.6222
angles (deg): 90.00 90.00 90.00
Positions (direct):
K 0.0000 0.5000 0.2434
K 0.5000 0.0000 0.7566
Ga 0.5000 0.5000 0.0000
Sn 0.0000 0.0000 0.0000
Sn 0.0000 0.0000 0.5000
Sn 0.0000 0.5000 0.6268
Sn 0.0000 0.5000 0.8859
Sn 0.5000 0.0000 0.1141
Sn 0.5000 0.0000 0.3732
Sn 0.5000 0.5000 0.5000

No. 11
DFT (PBE) results for K2Ga7Sn after structural relaxation.

Calculated values
Calculated total energy: -29.0 eV per cell
ΔH_f (0 K): -159 meV per atom

a b c (Å): 4.5493 4.5493 11.4490
angles (deg): 90.00 90.00 90.00
Positions (direct):
K 0.0000 0.5000 0.2425
K 0.5000 0.0000 0.7575
Ga 0.0000 0.0000 0.0000
Ga 0.0000 0.5000 0.6458
Ga 0.0000 0.5000 0.8730
Ga 0.5000 0.0000 0.1270
Ga 0.5000 0.0000 0.3542
Ga 0.5000 0.5000 0.0000
Ga 0.5000 0.5000 0.5000
Sn 0.0000 0.0000 0.5000

No. 12
DFT (PBE) results for KGa3Sn4 after structural relaxation.

Calculated values
Calculated total energy: -26.4 eV per cell
ΔH_f (0 K): -25 meV per atom

a b c (Å): 4.8966 4.8966 9.3077
angles (deg): 90.00 90.00 90.00
Positions (direct):
K 0.0000 0.0000 0.0000
Ga 0.0000 0.0000 0.5000
Ga 0.5000 0.5000 0.1415
Ga 0.5000 0.5000 0.8585
Sn 0.0000 0.5000 0.3170
Sn 0.0000 0.5000 0.6830
Sn 0.5000 0.0000 0.3170
Sn 0.5000 0.0000 0.6830

no.,spin magnetization (μB per cell)
1,0.000
2,0.000
3,0.000
4,0.000
5,0.000
6,0.000
7,0.000
8,0.000
9,0.000
10,0.000
11,0.000
12,0.000